5
Lattice="-4.333 -2.099 -1.383 2.010 -1.238 -4.419 1.510 -4.377 1.913" Properties=species:S:1:pos:R:3 comment="Nd3HfH GGA-PBE relaxed" e_tot_ev_per_atom=-5.5188 sg="Pm-3m (221)" magnetic_moment_mub_per_cell=0.00 dos_at_fermi_per_ev_cell=5.11 pbc="T T T"
H 0.000 0.000 0.000
Nd -2.167 -1.050 -0.691
Nd 1.005 -0.619 -2.209
Hf -0.407 -3.857 -1.944
Nd 0.755 -2.188 0.957